First-principles (PBE) data for ScPb3W after structural relaxation, as listed in the Alexandria database.

```
5
Lattice="5.3999 0.0000 0.0000 0.0000 5.3999 0.0000 0.0000 0.0000 5.3999" Properties=species:S:1:pos:R:3 pbc="T T T"
Pb 0.0000 2.6999 0.0000
Pb 0.0000 0.0000 2.6999
Pb 2.6999 0.0000 0.0000
Sc 2.6999 2.6999 2.6999
W 0.0000 0.0000 0.0000
```

Summary:
final energy: -5.24 eV per atom
E above lowest polymorph: 0.00 kJ/mol of atoms
DFT formation energy: 19.482 kcal/mol of atoms
density of states at the Fermi level: 7.0 states/eV per cell
calculated density: 8.97 Mg/m³
space group: Pm-3m